(1)
Below is a relaxed Te2IrBr crystal, with properties calculated at the GGA-PBE level.

## Properties
* total magnetization: 0.00 Bohr magnetons per cell
* polymorph energy (0 for the lowest one): 42 meV/atom
* raw formation energy: -0.222 eV per atom
* symmetry: C2/m, No. 12

Cell lengths 4.0736, 4.0736, 8.0971 Å; angles 108.46, 108.46, 57.39 degrees
Closest atoms and distances in Å follow each position.
Fractional positions:
Te  0.2489  0.2489  0.3236  3 Ir 2.65-2.69
Te  0.7511  0.7511  0.6764  3 Ir 2.65-2.69
Ir  0.0000  0.0000  0.5000  6 Te 2.65-2.69
Br  0.5000  0.5000  0.0000  4 Te 3.24


(2)
Below is a relaxed YZr2Tl2 crystal, with properties calculated at the GGA-PBE level.

## Properties
* total magnetization: 0.00 Bohr magnetons per cell
* calculated formation energy: -1.17 kcal/mol of atoms
* polymorph energy (0 for the lowest one): 0 meV/atom
* symmetry: P4/mbm, No. 127

Cell lengths 8.2082, 8.2082, 3.7451 Å; angles 90.00, 90.00, 90.00 degrees
Closest atoms and distances in Å follow each position.
Fractional positions:
Y  0.0000  0.0000  0.0000  4 Tl 3.21, 8 Zr 3.58
Y  0.5000  0.5000  0.0000  4 Tl 3.21, 8 Zr 3.58
Zr  0.1704  0.3296  0.5000  6 Tl 2.97-3.12
Zr  0.3296  0.8296  0.5000  6 Tl 2.97-3.12
Zr  0.6704  0.1704  0.5000  6 Tl 2.97-3.12
Zr  0.8296  0.6704  0.5000  6 Tl 2.97-3.12
Tl  0.1312  0.6312  0.0000  6 Zr 2.97-3.12, 1 Tl 3.05, 2 Y 3.21
Tl  0.3688  0.1312  0.0000  6 Zr 2.97-3.12, 1 Tl 3.05, 2 Y 3.21
Tl  0.6312  0.8688  0.0000  6 Zr 2.97-3.12, 1 Tl 3.05, 2 Y 3.21
Tl  0.8688  0.3688  0.0000  6 Zr 2.97-3.12, 1 Tl 3.05, 2 Y 3.21


(3)
Below is a relaxed SrSmHg4 crystal, with properties calculated at the GGA-PBE level.

## Properties
* total magnetization: 0.00 Bohr magnetons per cell
* calculated formation energy: -9.49 kcal/mol of atoms
* polymorph energy (0 for the lowest one): 0 meV/atom
* symmetry: C2/m, No. 12

Cell lengths 5.8002, 5.8002, 8.2104 Å; angles 110.46, 110.46, 40.21 degrees
Closest atoms and distances in Å follow each position.
Fractional positions:
Sr  0.0000  0.0000  0.0000  10 Hg 3.35-3.40
Sm  0.0000  0.0000  0.5000  10 Hg 3.26-3.34
Hg  0.3303  0.3303  0.6543  5 Hg 3.19-3.42, 3 Sm 3.28-3.34, 2 Sr 3.40
Hg  0.3313  0.3313  0.1802  2 Sm 3.26, 5 Hg 3.27-3.46, 3 Sr 3.35-3.40
Hg  0.6687  0.6687  0.8198  2 Sm 3.26, 5 Hg 3.27-3.46, 3 Sr 3.35-3.40
Hg  0.6697  0.6697  0.3457  5 Hg 3.19-3.42, 3 Sm 3.28-3.34, 2 Sr 3.40


(4)
Below is a relaxed AcY3Ag2 crystal, with properties calculated at the GGA-PBE level.

## Properties
* total magnetization: 0.00 Bohr magnetons per cell
* calculated formation energy: -4.31 kcal/mol of atoms
* symmetry: P4/mmm, No. 123

Cell lengths 3.6837, 3.6837, 12.7481 Å; angles 90.00, 90.00, 90.00 degrees
Closest atoms and distances in Å follow each position.
Fractional positions:
Ac  0.0000  0.0000  0.0000  4 Ac 3.68, 8 Y 3.81
Y  0.5000  0.5000  0.2183  4 Ag 3.15
Y  0.5000  0.5000  0.5000  8 Ag 3.18
Y  0.5000  0.5000  0.7817  4 Ag 3.15
Ag  0.0000  0.0000  0.3569  8 Y 3.15-3.18
Ag  0.0000  0.0000  0.6431  8 Y 3.15-3.18


Number 1: total energy -4.43 eV/atom, calculated volume 26.39 A^3/atom. Number 2: total energy -5.71 eV/atom, calculated volume 25.23 A^3/atom. Number 3: total energy -1.68 eV/atom, calculated volume 27.58 A^3/atom. Number 4: total energy -5.05 eV/atom, calculated volume 28.83 A^3/atom.